1.
Hf2NbRh | Alexandria | PBE | relaxed; energy of formation = 0.0725 eV per atom; E = -9.260 eV/atom; space-group type = I-42d (122)
1.0
-2.9031 -5.7513 -3.7211
2.1355 -4.6000 5.4435
-2.9319 -4.7622 2.2102
Hf Nb Rh
4 2 2
Direct
0.0918 0.6250 0.2500
0.3750 0.3418 0.7500
0.8750 0.9082 0.7500
0.6582 0.1250 0.2500
0.2500 0.7500 0.5000
0.5000 0.5000 0.0000
0.0000 0.0000 0.0000
0.7500 0.2500 0.5000

2.
Hf2Nb2Rh | Alexandria | PBE | relaxed; energy of formation = 0.7674 eV per atom; E = -8.712 eV/atom; energy relative to the lowest polymorph listed for this composition = 1181 meV per atom; space-group type = I4/mmm (139)
1.0
3.9504 0.0000 0.0000
0.0000 3.9504 0.0000
1.9752 1.9752 6.6503
Nb Hf Rh
2 2 1
Direct
0.5886 0.5886 0.8227
0.4114 0.4114 0.1773
0.7500 0.2500 0.5000
0.2500 0.7500 0.5000
0.0000 0.0000 0.0000

3.
Hf2NbRh | Alexandria | PBE | relaxed; energy of formation = -0.4090 eV per atom; E = -9.741 eV/atom; space-group type = P4/mmm (123)
1.0
3.3406 0.0000 0.0000
0.0000 4.7064 0.0000
0.0000 0.0000 4.7064
Rh Nb Hf
1 1 2
Direct
0.5000 0.0000 0.0000
0.5000 0.5000 0.5000
0.0000 0.5000 0.0000
0.0000 0.0000 0.5000

4.
HfNb2Rh2 | Alexandria | PBE | relaxed; energy of formation = -0.2192 eV per atom; E = -9.178 eV/atom; energy relative to the lowest polymorph listed for this composition = 101 meV per atom; space-group type = P4/mbm (127)
1.0
-7.3940 -1.0305 2.3858
-0.8048 -5.9334 -5.0569
0.9051 -1.8371 2.0115
Rh Hf Nb
4 2 4
Direct
0.3528 0.1472 0.5000
0.1472 0.6472 0.5000
0.6472 0.8528 0.5000
0.8528 0.3528 0.5000
0.0000 0.0000 0.0000
0.5000 0.5000 0.0000
0.3503 0.8503 0.0000
0.8503 0.6497 0.0000
0.6497 0.1497 0.0000
0.1497 0.3503 0.0000

5.
HfNbSn2Rh | Alexandria | PBE | relaxed; energy of formation = 1.0010 eV per atom; E = -6.075 eV/atom; space-group type = P4/mmm (123)
1.0
5.2316 0.0000 0.0000
0.0000 4.9727 0.0000
0.0000 0.0000 5.2316
Rh Sn Hf Nb
1 2 1 1
Direct
0.5000 0.5000 0.5000
0.0000 0.0000 0.5000
0.5000 0.0000 0.0000
0.0000 0.5000 0.0000
0.0000 0.0000 0.0000

6.
HfNbTcRh2 | Alexandria | PBE | relaxed; energy of formation = 1.0510 eV per atom; E = -7.967 eV/atom; space-group type = P4/mmm (123)
1.0
-2.5787 3.6613 1.1473
-3.6452 -1.7199 -2.7043
-1.6334 -2.2984 3.6634
Rh Tc Hf Nb
2 1 1 1
Direct
0.0000 0.0000 0.5000
0.5000 0.0000 0.0000
0.0000 0.0000 0.0000
0.0000 0.5000 0.0000
0.5000 0.5000 0.5000

7.
HfTi2NbRh | Alexandria | PBE | relaxed; energy of formation = 1.0302 eV per atom; E = -7.603 eV/atom; space-group type = P4/mmm (123)
1.0
-3.0790 -1.7769 -2.9389
3.6526 -2.8068 -2.1296
-0.8798 -3.4073 2.9818
Ti Hf Nb Rh
2 1 1 1
Direct
0.5000 0.0000 0.0000
0.0000 0.0000 0.5000
0.0000 0.5000 0.0000
0.0000 0.0000 0.0000
0.5000 0.5000 0.5000

8.
HfNbRhW | Alexandria | PBE | relaxed; energy of formation = -0.3115 eV per atom; E = -10.393 eV/atom; space-group type = F-43m (216)
1.0
-2.4448 -0.3038 -3.8860
1.9684 -1.6041 -3.8369
-1.1973 -4.1255 -1.6481
Hf Nb W Rh
1 1 1 1
Direct
0.5000 0.5000 0.5000
0.0000 0.0000 0.0000
0.2500 0.2500 0.2500
0.7500 0.7500 0.7500

9.
YHfNb2Rh | Alexandria | PBE | relaxed; energy of formation = 0.6903 eV per atom; E = -8.091 eV/atom; space-group type = P4/mmm (123)
1.0
4.8983 0.0000 0.0000
0.0000 5.0987 0.0000
0.0000 0.0000 4.8983
Hf Nb Rh Y
1 2 1 1
Direct
0.5000 0.5000 0.5000
0.0000 0.0000 0.5000
0.5000 0.0000 0.0000
0.0000 0.0000 0.0000
0.0000 0.5000 0.0000

10.
HfNb2Ru | Alexandria | PBE | relaxed; energy of formation = 0.2528 eV per atom; E = -9.589 eV/atom; energy relative to the lowest polymorph listed for this composition = 345 meV per atom; space-group type = I-42d (122)
1.0
-7.0063 2.6043 1.0365
0.5684 -1.4124 7.3910
-2.2281 3.1014 4.6163
Nb Hf Ru
4 2 2
Direct
0.8750 0.8357 0.7500
0.3750 0.4143 0.7500
0.1643 0.6250 0.2500
0.5857 0.1250 0.2500
0.7500 0.2500 0.5000
0.0000 0.0000 0.0000
0.2500 0.7500 0.5000
0.5000 0.5000 0.0000

11.
Hf2Nb2Ru | Alexandria | PBE | relaxed; energy of formation = -0.3209 eV per atom; E = -10.185 eV/atom; energy relative to the lowest polymorph listed for this composition = 0 meV per atom; space-group type = I4/mmm (139)
1.0
-2.1908 0.0646 -2.4749
0.0128 -3.3045 -0.0975
-5.2181 1.4309 6.8644
Nb Hf Ru
2 2 1
Direct
0.2052 0.2052 0.4104
0.7948 0.7948 0.5896
0.5948 0.5948 0.1896
0.4052 0.4052 0.8104
0.0000 0.0000 0.0000

12.
Hf4Nb2Ru | Alexandria | PBE | relaxed; energy of formation = 0.7235 eV per atom; E = -9.166 eV/atom; space-group type = I4/mmm (139)
1.0
-1.1544 -3.4927 3.1726
-2.5822 -2.2661 -3.4342
3.7096 -6.4141 -1.9925
Hf Nb Ru
4 2 1
Direct
0.5000 0.0000 0.0000
0.8097 0.8097 0.3806
0.1903 0.1903 0.6194
0.0000 0.5000 0.0000
0.6180 0.6180 0.7640
0.3820 0.3820 0.2360
0.0000 0.0000 0.0000